# Nd4PSe3 (PBE-GGA, relaxed)
# **ΔE_f (raw)**: -1.8239 eV/atom
# **DOS(E_F)**: 5.9 states/eV/cell
data_Nd4PSe3
_chemical_formula_sum 'Nd8 P2 Se6'
_cell_length_a 8.5033
_cell_length_b 11.9361
_cell_length_c 4.1894
_cell_angle_alpha 90.00
_cell_angle_beta 90.00
_cell_angle_gamma 90.00
_symmetry_space_group_name_H-M 'C m m m'
_symmetry_Int_Tables_number 65
_symmetry_space_group_name_Hall '-C 2 2'
loop_
_atom_site_label
_atom_site_type_symbol
_atom_site_fract_x
_atom_site_fract_y
_atom_site_fract_z
Nd1 Nd 0.0000 0.2395 0.0000
Nd2 Nd 0.2331 0.0000 0.5000
P1 P 0.0000 0.0000 0.0000
Se1 Se 0.0000 0.5000 0.0000
Se2 Se 0.2500 0.2500 0.5000

***

# Nd6P4Se (PBE-GGA, relaxed)
# **ΔE_f (raw)**: -1.4566 eV/atom
# **DOS(E_F)**: 20.6 states/eV/cell
data_Nd6P4Se
_chemical_formula_sum 'Nd24 P16 Se4'
_cell_length_a 4.1373
_cell_length_b 13.7354
_cell_length_c 20.9472
_cell_angle_alpha 90.00
_cell_angle_beta 90.00
_cell_angle_gamma 90.00
_symmetry_space_group_name_H-M 'C m c m'
_symmetry_Int_Tables_number 63
_symmetry_space_group_name_Hall '-C 2c 2'
loop_
_atom_site_label
_atom_site_type_symbol
_atom_site_fract_x
_atom_site_fract_y
_atom_site_fract_z
Nd1 Nd 0.0000 0.0000 0.0000
Nd2 Nd 0.0000 0.1767 0.2500
Nd3 Nd 0.0000 0.2755 0.5799
Nd4 Nd 0.0000 0.4586 0.1608
P1 P 0.0000 0.0912 0.1275
P2 P 0.0000 0.3629 0.0433
Se1 Se 0.0000 0.1618 0.7500

***

# Nd2PSe (PBE-GGA, relaxed)
# **ΔE_f (raw)**: -1.7774 eV/atom
# **ΔE to the lowest computed polymorph**: 0 kJ/mol of formula units
# **DOS(E_F)**: 3.0 states/eV/cell
data_Nd2PSe
_chemical_formula_sum 'Nd4 P2 Se2'
_cell_length_a 7.2310
_cell_length_b 4.1747
_cell_length_c 7.3702
_cell_angle_alpha 90.00
_cell_angle_beta 109.01
_cell_angle_gamma 90.00
_symmetry_space_group_name_H-M 'C 1 2/m 1'
_symmetry_Int_Tables_number 12
loop_
_symmetry_equiv_pos_as_xyz
'x,y,z'
'-x,-y,-z'
'-x,y,-z'
'x,-y,z'
'x+1/2,y+1/2,z'
'-x+1/2,-y+1/2,-z'
'-x+1/2,y+1/2,-z'
'x+1/2,-y+1/2,z'
loop_
_atom_site_label
_atom_site_type_symbol
_atom_site_fract_x
_atom_site_fract_y
_atom_site_fract_z
Nd1 Nd 0.2433 0.0000 0.2304
P1 P 0.0000 0.5000 0.0000
Se1 Se 0.0000 0.0000 0.5000

***

# Nd2PSe (PBE-GGA, relaxed)
# **ΔE_f (raw)**: -1.7079 eV/atom
# **ΔE to the lowest computed polymorph**: 27 kJ/mol of formula units
# **DOS(E_F)**: 7.5 states/eV/cell
data_Nd2PSe
_chemical_formula_sum 'Nd6 P3 Se3'
_cell_length_a 4.1143
_cell_length_b 4.1143
_cell_length_c 21.7685
_cell_angle_alpha 90.00
_cell_angle_beta 90.00
_cell_angle_gamma 120.00
_symmetry_space_group_name_H-M 'R 3 m'
_symmetry_Int_Tables_number 160
_symmetry_space_group_name_Hall 'R 3 -2"'
loop_
_atom_site_label
_atom_site_type_symbol
_atom_site_fract_x
_atom_site_fract_y
_atom_site_fract_z
Nd1 Nd 0.0000 0.0000 0.0000
Nd2 Nd 0.0000 0.0000 0.1838
P1 P 0.0000 0.0000 0.5907
Se1 Se 0.0000 0.0000 0.7596

***

Which value of ΔE_f (raw) does entry 3 give? -1.7774 eV/atom

***

Number 1 is which compound? Nd4PSe3